{
  "formula": "MgBeFeAs",
  "functional": "GGA-PBE",
  "state": "relaxed",
  "relative_energy_mev_per_atom": 0,
  "magmom_total_mub_per_cell": 1.18,
  "dft_energy_ev_per_atom": -4.3401,
  "lattice": [[5.864, 0.000, 0.000], [0.000, 5.864, 0.000], [0.000, 0.000, 5.864]],
  "species": ["Mg", "Mg", "Mg", "Mg", "Be", "Be", "Be", "Be", "Fe", "Fe", "Fe", "Fe", "As", "As", "As", "As"],
  "fractional_positions": [[0.000, 0.000, 0.000], [0.000, 0.500, 0.500], [0.500, 0.000, 0.500], [0.500, 0.500, 0.000], [0.250, 0.250, 0.750], [0.250, 0.750, 0.250], [0.750, 0.250, 0.250], [0.750, 0.750, 0.750], [0.000, 0.000, 0.500], [0.000, 0.500, 0.000], [0.500, 0.000, 0.000], [0.500, 0.500, 0.500], [0.250, 0.250, 0.250], [0.250, 0.750, 0.750], [0.750, 0.250, 0.750], [0.750, 0.750, 0.250]]
}